Compound: Rb3Tl9Pd2
Source: the Alexandria database
Functional: PBE
Structure: optimized geometry

Lattice parameters (Å, degrees): 5.0194 9.9214 9.9214 77.76 75.35 75.35
Closest atoms and distances in Å follow each position.
Element x y z (fractional)
Rb 0.3148 0.6852 0.6852  10 Tl 3.69-3.84, 2 Pd 4.01
Tl 0.8896 0.3938 0.8271  2 Pd 3.00, 5 Tl 3.14-3.27
Pd 0.5000 0.2621 0.7379  6 Tl 2.89-3.00
Tl 0.1104 0.1729 0.6062  2 Pd 3.00, 5 Tl 3.14-3.27
Rb 0.0000 0.0000 0.0000  12 Tl 3.88-4.02, 4 Pd 4.12
Tl 0.6733 0.9763 0.6770  1 Pd 2.89, 2 Tl 3.15
Rb 0.6852 0.3148 0.3148  10 Tl 3.69-3.84, 2 Pd 4.01
Tl 0.1104 0.6062 0.1729  2 Pd 3.00, 5 Tl 3.14-3.27
Pd 0.5000 0.7379 0.2621  6 Tl 2.89-3.00
Tl 0.3267 0.3230 0.0237  1 Pd 2.89, 2 Tl 3.15
Tl 0.3267 0.0237 0.3230  1 Pd 2.89, 2 Tl 3.15
Tl 0.0000 0.5000 0.5000  4 Tl 3.14
Tl 0.6733 0.6770 0.9763  1 Pd 2.89, 2 Tl 3.15
Tl 0.8896 0.8271 0.3938  2 Pd 3.00, 5 Tl 3.14-3.27

Summary:
Formation energy: -0.075 eV per atom
Uncorrected energy: -35.64 eV per cell


Compound: AlCrSiC2
Source: the Alexandria database
Functional: PBE
Structure: optimized geometry

Lattice parameters (Å, degrees): 3.7130 4.8145 3.7130 90.00 90.00 90.00
Closest atoms and distances in Å follow each position.
Element x y z (fractional)
Al 0.5000 0.5000 0.5000  4 Cr 2.63
Cr 0.0000 0.5000 0.0000  2 Si 2.41, 4 Al 2.63
C 0.0000 0.0000 0.5000  2 Si 1.86
Si 0.0000 0.0000 0.0000  4 C 1.86
C 0.5000 0.0000 0.0000  2 Si 1.86

Summary:
Formation energy (no corrections): 1.5969 eV/atom
Uncorrected energy: -29.25 eV per cell


Compound: Tb2NdSm5Tm
Source: the Alexandria database
Functional: PBE
Structure: optimized geometry

Lattice parameters (Å, degrees): 5.6410 10.5247 10.7089 90.00 90.00 105.54
Closest atoms and distances in Å follow each position.
Element x y z (fractional)
Tb 0.1157 0.2313 0.3176  9 Sm 3.36-3.74, 1 Nd 3.73
Tb 0.8843 0.7687 0.8176  9 Sm 3.36-3.74, 1 Nd 3.73
Tb 0.8899 0.7798 0.2368  7 Sm 3.44-3.84, 1 Nd 3.46, 2 Tm 3.71
Sm 0.9834 0.9669 0.5226  2 Tm 3.26, 3 Tb 3.44-3.60
Sm 0.5201 0.0402 0.2417  2 Tm 3.22-3.34, 2 Sm 3.49-3.51, 2 Tb 3.52
Tb 0.1101 0.2202 0.7368  7 Sm 3.44-3.84, 1 Nd 3.46, 2 Tm 3.71
Sm 0.4799 0.9598 0.7417  2 Tm 3.22-3.34, 2 Sm 3.49-3.51, 2 Tb 3.52
Sm 0.6079 0.2157 0.5244  5 Sm 3.49-3.78, 4 Tb 3.59-3.62, 1 Nd 3.87
Tm 0.4106 0.8211 0.4589  5 Sm 3.08-3.34
Sm 0.2987 0.5973 0.7050  3 Sm 3.43-3.70, 1 Tm 3.48, 3 Nd 3.51-3.81, 3 Tb 3.53-3.84
Sm 0.3921 0.7843 0.0244  5 Sm 3.49-3.78, 4 Tb 3.59-3.62, 1 Nd 3.87
Sm 0.7187 0.4374 0.8074  1 Tm 3.08, 1 Tb 3.36, 2 Sm 3.43
Sm 0.7013 0.4027 0.2050  3 Sm 3.43-3.70, 1 Tm 3.48, 3 Nd 3.51-3.81, 3 Tb 3.53-3.84
Sm 0.0166 0.0331 0.0226  2 Tm 3.26, 3 Tb 3.44-3.60
Tm 0.5894 0.1789 0.9589  5 Sm 3.08-3.34
Sm 0.2813 0.5626 0.3074  1 Tm 3.08, 1 Tb 3.36, 2 Sm 3.43
Nd 0.2015 0.4029 0.0096  2 Tb 3.46-3.73, 8 Sm 3.51-3.87, 2 Tm 3.66
Nd 0.7985 0.5971 0.5096  2 Tb 3.46-3.73, 8 Sm 3.51-3.87, 2 Tm 3.66

Summary:
Formation energy: 0.145 eV per atom
Uncorrected energy: -81.58 eV per cell


Compound: TlH2
Source: the Alexandria database
Functional: PBE
Structure: optimized geometry

Lattice parameters (Å, degrees): 3.7036 3.7036 3.8560 118.65 118.65 90.08
Closest atoms and distances in Å follow each position.
Element x y z (fractional)
H 0.1729 0.1729 0.3457  1 Tl 1.85, 1 H 1.96
Tl 0.5000 0.5000 0.0000  2 H 1.85
H 0.8271 0.8271 0.6543  1 Tl 1.85, 1 H 1.96

Summary:
Uncorrected energy: -7.17 eV per cell


Compound: FeCuAu2
Source: the Alexandria database
Functional: PBE
Structure: optimized geometry

Lattice parameters (Å, degrees): 4.8727 4.8727 4.8727 132.71 132.71 69.11
Closest atoms and distances in Å follow each position.
Element x y z (fractional)
Au 0.2500 0.7500 0.5000  4 Fe 2.76, 4 Au 2.80, 4 Cu 2.80
Fe 0.7500 0.2500 0.5000  8 Au 2.76-2.80, 4 Cu 2.80
Cu 0.5000 0.5000 0.0000  8 Au 2.76-2.80, 4 Fe 2.80
Au 0.0000 0.0000 0.0000  4 Cu 2.76, 4 Fe 2.80, 4 Au 2.80

Summary:
Formation energy: 0.123 eV per atom
Uncorrected energy: -18.62 eV per cell


Compound: Sr2CuRhAu
Source: the Alexandria database
Functional: PBE
Structure: optimized geometry

Lattice parameters (Å, degrees): 5.7060 4.5092 5.7060 90.00 90.00 90.00
Closest atoms and distances in Å follow each position.
Element x y z (fractional)
Cu 0.0000 0.0000 0.0000  2 Rh 2.25
Rh 0.0000 0.5000 0.0000  2 Cu 2.25
Sr 0.5000 0.0000 0.0000  2 Cu 2.85
Au 0.5000 0.5000 0.5000  8 Sr 3.64, 4 Rh 4.03
Sr 0.0000 0.0000 0.5000  2 Cu 2.85

Summary:
Formation energy: 0.055 eV per atom
Uncorrected energy: -17.81 eV per cell


Compound: KLaTl2Rh
Source: the Alexandria database
Functional: PBE
Structure: optimized geometry

Lattice parameters (Å, degrees): 5.5397 5.5397 5.2116 90.00 90.00 90.00
Closest atoms and distances in Å follow each position.
Element x y z (fractional)
La 0.0000 0.0000 0.5000  2 Rh 2.61
Tl 0.5000 0.0000 0.0000  2 Rh 2.77
Tl 0.0000 0.5000 0.0000  2 Rh 2.77
Rh 0.0000 0.0000 0.0000  2 La 2.61, 4 Tl 2.77
K 0.5000 0.5000 0.5000  8 Tl 3.80, 4 La 3.92

Summary:
Formation energy: -0.260 eV per atom
Uncorrected energy: -19.41 eV per cell


Compound: SbTe2MoOs
Source: the Alexandria database
Functional: PBE
Structure: optimized geometry

Lattice parameters (Å, degrees): 5.3525 5.3525 4.9402 90.00 90.00 90.00
Closest atoms and distances in Å follow each position.
Element x y z (fractional)
Sb 0.0000 0.0000 0.5000  2 Os 2.47
Os 0.0000 0.0000 0.0000  2 Sb 2.47, 4 Te 2.68
Mo 0.5000 0.5000 0.5000  8 Te 3.64, 4 Sb 3.78
Te 0.0000 0.5000 0.0000  2 Os 2.68
Te 0.5000 0.0000 0.0000  2 Os 2.68

Summary:
Formation energy (no corrections): 1.2865 eV/atom
Offset from the most stable computed form: 0 kJ/mol of formula units
Uncorrected energy: -26.03 eV per cell


Compound: Pr3Sm2Pb
Source: the Alexandria database
Functional: PBE
Structure: optimized geometry

Lattice parameters (Å, degrees): 5.0381 5.0116 8.2290 107.73 90.00 90.00
Closest atoms and distances in Å follow each position.
Element x y z (fractional)
Pr 0.5000 0.5000 0.0000  4 Pb 3.55, 4 Sm 3.58, 4 Pr 3.61
Pb 0.0000 0.0000 0.0000  8 Pr 3.55-3.62, 4 Sm 3.57
Sm 0.0000 0.3376 0.6753  8 Pr 3.55-3.69, 2 Pb 3.57, 2 Sm 3.72
Pr 0.5000 0.1657 0.3314  6 Sm 3.55-3.69, 4 Pr 3.61-3.64, 2 Pb 3.62
Pr 0.5000 0.8343 0.6686  6 Sm 3.55-3.69, 4 Pr 3.61-3.64, 2 Pb 3.62
Sm 0.0000 0.6624 0.3247  8 Pr 3.55-3.69, 2 Pb 3.57, 2 Sm 3.72

Summary:
Formation energy: -0.195 eV per atom
Uncorrected energy: -28.65 eV per cell


Compound: CsBa2InNi
Source: the Alexandria database
Functional: PBE
Structure: optimized geometry

Lattice parameters (Å, degrees): 6.2163 6.2163 5.2474 90.00 90.00 90.00
Closest atoms and distances in Å follow each position.
Element x y z (fractional)
In 0.0000 0.0000 0.5000  2 Ni 2.62
Ba 0.0000 0.5000 0.0000  2 Ni 3.11
Ni 0.0000 0.0000 0.0000  2 In 2.62
Ba 0.5000 0.0000 0.0000  2 Ni 3.11
Cs 0.5000 0.5000 0.5000  8 Ba 4.07, 4 In 4.40

Summary:
Formation energy: 0.003 eV per atom
Uncorrected energy: -13.20 eV per cell


Compound: FeCo
Source: the Alexandria database
Functional: PBE
Structure: optimized geometry

Lattice parameters (Å, degrees): 4.0010 4.0010 5.7198 90.00 90.00 89.99
Closest atoms and distances in Å follow each position.
Element x y z (fractional)
Fe 0.2500 0.2500 0.5000  4 Co 2.43, 4 Fe 2.49
Fe 0.7500 0.2500 0.2399  4 Co 2.43, 4 Fe 2.49
Co 0.2500 0.7500 0.2600  4 Fe 2.43, 4 Co 2.49
Co 0.7500 0.2500 0.7400  4 Fe 2.43, 4 Co 2.49
Fe 0.7500 0.7500 0.5000  4 Co 2.43, 4 Fe 2.49
Fe 0.2500 0.7500 0.7601  4 Co 2.43, 4 Fe 2.49
Co 0.7500 0.7500 0.0000  4 Fe 2.43, 4 Co 2.49
Co 0.2500 0.2500 0.0000  4 Fe 2.43, 4 Co 2.49

Summary:
Formation energy: -0.002 eV per atom
Uncorrected energy: -62.29 eV per cell


Compound: Mg2NiBI
Source: the Alexandria database
Functional: PBE
Structure: optimized geometry

Lattice parameters (Å, degrees): 5.4051 4.4781 5.4051 90.00 90.00 90.00
Closest atoms and distances in Å follow each position.
Element x y z (fractional)
Ni 0.5000 0.5000 0.5000  8 Mg 3.51, 4 B 3.82
B 0.0000 0.5000 0.0000  2 I 2.24
Mg 0.0000 0.0000 0.5000  2 I 2.70
Mg 0.5000 0.0000 0.0000  2 I 2.70
I 0.0000 0.0000 0.0000  2 B 2.24

Summary:
Formation energy (no corrections): 1.6994 eV/atom
Uncorrected energy: -8.70 eV per cell


Q: Which value of uncorrected energy does entry 3 give?
A: -81.58 eV per cell


Copy entry 6 word for word.
Compound: Sr2CuRhAu
Source: the Alexandria database
Functional: PBE
Structure: optimized geometry

Lattice parameters (Å, degrees): 5.7060 4.5092 5.7060 90.00 90.00 90.00
Closest atoms and distances in Å follow each position.
Element x y z (fractional)
Cu 0.0000 0.0000 0.0000  2 Rh 2.25
Rh 0.0000 0.5000 0.0000  2 Cu 2.25
Sr 0.5000 0.0000 0.0000  2 Cu 2.85
Au 0.5000 0.5000 0.5000  8 Sr 3.64, 4 Rh 4.03
Sr 0.0000 0.0000 0.5000  2 Cu 2.85

Summary:
Formation energy: 0.055 eV per atom
Uncorrected energy: -17.81 eV per cell